No. 1
The following is a PBE calculation of a relaxed Zn2CuP crystal, from Alexandria.

a b c (Å): 2.7456 3.6915 5.6753
angles (deg): 90.00 90.00 90.00
With the nearest neighbours (Å) after each atom.
Fractional coordinates of all 4 atoms:
Zn 0.0000 0.0000 0.0000  6 Zn 2.70-2.75, 2 Cu 2.80-2.87, 4 P 2.85
Zn 0.5000 0.5000 0.2497  1 P 2.58, 6 Zn 2.70-2.75, 4 Cu 2.72
Cu 0.0000 0.0000 0.5063  4 P 2.56, 5 Zn 2.72-2.80, 2 Cu 2.75
P 0.5000 0.5000 0.7043  4 Cu 2.56, 5 Zn 2.58-2.85, 2 P 2.75

* symmetry: Pmm2 (25)

***

No. 2
The following is a PBE calculation of a relaxed BaTcRh2 crystal, from Alexandria.

a b c (Å): 5.5918 5.5918 5.5918
angles (deg): 142.88 119.45 73.20
With the nearest neighbours (Å) after each atom.
Fractional coordinates of all 4 atoms:
Ba 0.0000 0.0000 0.0000  8 Rh 3.28-3.33, 4 Tc 3.33, 2 Ba 3.56
Tc 0.5000 0.5000 0.0000  4 Rh 2.45
Rh 0.3130 0.8130 0.5000  2 Tc 2.45
Rh 0.6870 0.1870 0.5000  2 Tc 2.45

* offset from the most stable computed form: 0.469 eV/atom
* symmetry: Immm (71)

***

No. 3
The following is a PBE calculation of a relaxed LaMg4Ag crystal, from Alexandria.

a b c (Å): 8.7215 4.4286 7.7468
angles (deg): 90.00 90.00 90.00
With the nearest neighbours (Å) after each atom.
Fractional coordinates of all 12 atoms:
La 0.2500 0.0000 0.1105  1 Ag 3.15, 2 Mg 3.42
La 0.7500 0.0000 0.8895  1 Ag 3.15, 2 Mg 3.42
Mg 0.0000 0.0000 0.5000  2 Ag 2.69
Mg 0.0572 0.5000 0.8040  2 Ag 2.89, 2 Mg 3.20-3.23
Mg 0.2500 0.5000 0.4475  2 Ag 2.97, 8 Mg 3.13-3.31
Mg 0.4428 0.5000 0.8040  2 Ag 2.89, 2 Mg 3.20-3.23
Mg 0.5000 0.0000 0.5000  2 Ag 2.69
Mg 0.5572 0.5000 0.1960  2 Ag 2.89, 2 Mg 3.20-3.23
Mg 0.7500 0.5000 0.5525  2 Ag 2.97, 8 Mg 3.13-3.31
Mg 0.9428 0.5000 0.1960  2 Ag 2.89, 2 Mg 3.20-3.23
Ag 0.2500 0.0000 0.7036  8 Mg 2.69-2.97
Ag 0.7500 0.0000 0.2964  8 Mg 2.69-2.97

* offset from the most stable computed form: 0.000 eV/atom
* symmetry: Pmma (51)

***

Number 1: E_form 156 meV per atom. Number 2: E_form 634 meV per atom. Number 3: E_form -168 meV per atom.